[1]
Here is crystalline CrInCl2 at its relaxed geometry from Alexandria via LeMat-Bulk. Energies are from GGA-PBE.

Formation energy (no corrections)   -0.419 eV per atom
ΔE to the lowest computed polymorph   114.2 meV per atom

Cell lengths 3.610, 3.610, 8.114 Å; angles 90.00, 90.00, 90.00 degrees
Fractional coordinates of all 4 atoms:
Cr  0.000  0.000  0.000
In  0.500  0.500  0.535
Cl  0.000  0.000  0.302
Cl  0.500  0.500  0.955

---

[2]
Here is crystalline BaAg4Sb at its relaxed geometry from Alexandria via LeMat-Bulk. Energies are from GGA-PBE.

Formation energy (no corrections)   -0.197 eV per atom

Cell lengths 5.866, 5.866, 5.866 Å; angles 60.00, 60.00, 60.00 degrees
Fractional coordinates of all 6 atoms:
Ba  0.000  0.000  0.000
Ag  0.375  0.375  0.375
Ag  0.375  0.375  0.875
Ag  0.375  0.875  0.375
Ag  0.875  0.375  0.375
Sb  0.750  0.750  0.750

---

[3]
Here is crystalline Ho5ZnPd4 at its relaxed geometry from Alexandria via LeMat-Bulk. Energies are from GGA-PBE.

Formation energy from the elements   -791 meV per atom

Cell lengths 3.507, 3.507, 17.471 Å; angles 90.00, 90.00, 90.00 degrees
Fractional coordinates of all 10 atoms:
Ho  0.000  0.000  0.000
Ho  0.000  0.000  0.199
Ho  0.000  0.000  0.398
Ho  0.000  0.000  0.602
Ho  0.000  0.000  0.801
Zn  0.500  0.500  0.500
Pd  0.500  0.500  0.100
Pd  0.500  0.500  0.300
Pd  0.500  0.500  0.700
Pd  0.500  0.500  0.900

---

[4]
Here is crystalline Ba2OF at its relaxed geometry from Alexandria via LeMat-Bulk. Energies are from GGA-PBE.

Formation energy (no corrections)   -2.186 eV per atom
ΔE to the lowest computed polymorph   355.3 meV per atom

Cell lengths 4.828, 4.828, 4.828 Å; angles 60.00, 60.00, 60.00 degrees
Fractional coordinates of all 4 atoms:
Ba  0.250  0.250  0.250
Ba  0.750  0.750  0.750
O  0.000  0.000  0.000
F  0.500  0.500  0.500

---

[5]
Here is crystalline SrCrAg at its relaxed geometry from Alexandria via LeMat-Bulk. Energies are from GGA-PBE.

Formation energy from the elements   883 meV per atom
ΔE to the lowest computed polymorph   534.7 meV per atom

Cell lengths 5.217, 5.217, 5.217 Å; angles 60.00, 60.00, 60.00 degrees
Fractional coordinates of all 3 atoms:
Sr  0.000  0.000  0.000
Cr  0.250  0.250  0.250
Ag  0.750  0.750  0.750

---

[6]
Here is crystalline La2PrSm5Tm at its relaxed geometry from Alexandria via LeMat-Bulk. Energies are from GGA-PBE.

Formation energy from the elements   253 meV per atom

Cell lengths 10.196, 10.196, 10.196 Å; angles 129.02, 129.02, 74.98 degrees
Fractional coordinates of all 18 atoms:
La  0.119  0.619  0.737
La  0.381  0.119  0.500
La  0.619  0.881  0.500
La  0.881  0.381  0.263
Pr  0.250  0.250  0.000
Pr  0.750  0.750  0.000
Sm  0.000  0.000  0.000
Sm  0.075  0.141  0.500
Sm  0.141  0.641  0.066
Sm  0.359  0.425  0.500
Sm  0.425  0.925  0.066
Sm  0.500  0.500  0.000
Sm  0.575  0.075  0.934
Sm  0.641  0.575  0.500
Sm  0.859  0.359  0.934
Sm  0.925  0.859  0.500
Tm  0.250  0.750  0.500
Tm  0.750  0.250  0.500

---

[7]
Here is crystalline Pr2AlPd at its relaxed geometry from Alexandria via LeMat-Bulk. Energies are from GGA-PBE.

Formation energy from the elements   74 meV per atom
ΔE to the lowest computed polymorph   610.0 meV per atom

Cell lengths 10.355, 10.355, 10.355 Å; angles 21.57, 21.57, 21.57 degrees
Fractional coordinates of all 4 atoms:
Pr  0.105  0.105  0.105
Pr  0.895  0.895  0.895
Al  0.000  0.000  0.000
Pd  0.500  0.500  0.500

---

[8]
Here is crystalline Pr2Cu3Sn4Ir at its relaxed geometry from Alexandria via LeMat-Bulk. Energies are from GGA-PBE.

Formation energy from the elements   -430 meV per atom

Cell lengths 4.502, 4.502, 10.746 Å; angles 90.00, 90.00, 90.00 degrees
Fractional coordinates of all 10 atoms:
Pr  0.000  0.500  0.238
Pr  0.500  0.000  0.762
Cu  0.000  0.000  0.000
Cu  0.000  0.500  0.634
Cu  0.500  0.000  0.366
Sn  0.000  0.000  0.500
Sn  0.000  0.500  0.871
Sn  0.500  0.000  0.129
Sn  0.500  0.500  0.500
Ir  0.500  0.500  0.000

---

[9]
Here is crystalline CsKTaF6 at its relaxed geometry from Alexandria via LeMat-Bulk. Energies are from GGA-PBE.

Formation energy (no corrections)   -3.012 eV per atom

Cell lengths 6.743, 6.743, 10.297 Å; angles 90.00, 90.00, 120.00 degrees
Fractional coordinates of all 18 atoms:
Cs  0.000  0.000  0.000
Cs  0.000  0.000  0.500
K  0.333  0.667  0.250
K  0.667  0.333  0.750
Ta  0.333  0.667  0.750
Ta  0.667  0.333  0.250
F  0.072  0.411  0.654
F  0.072  0.662  0.846
F  0.338  0.411  0.846
F  0.338  0.928  0.654
F  0.411  0.072  0.154
F  0.411  0.338  0.346
F  0.589  0.662  0.654
F  0.589  0.928  0.846
F  0.662  0.072  0.346
F  0.662  0.589  0.154
F  0.928  0.338  0.154
F  0.928  0.589  0.346

---

[10]
Here is crystalline AlSbAuI2 at its relaxed geometry from Alexandria via LeMat-Bulk. Energies are from GGA-PBE.

Formation energy (no corrections)   0.449 eV per atom
ΔE to the lowest computed polymorph   0.0 meV per atom

Cell lengths 5.825, 5.825, 5.360 Å; angles 90.00, 90.00, 90.00 degrees
Fractional coordinates of all 5 atoms:
Al  0.000  0.000  0.000
Sb  0.500  0.500  0.000
Au  0.500  0.500  0.500
I  0.000  0.500  0.500
I  0.500  0.000  0.500

---

[11]
Here is crystalline MnP2Br at its relaxed geometry from Alexandria via LeMat-Bulk. Energies are from GGA-PBE.

Formation energy (no corrections)   1.148 eV per atom
ΔE to the lowest computed polymorph   1216.0 meV per atom

Cell lengths 4.409, 4.409, 4.409 Å; angles 60.00, 60.00, 60.00 degrees
Fractional coordinates of all 4 atoms:
Mn  0.000  0.000  0.000
P  0.250  0.250  0.250
P  0.750  0.750  0.750
Br  0.500  0.500  0.500

---

[12]
Here is crystalline Na2TaTcPb at its relaxed geometry from Alexandria via LeMat-Bulk. Energies are from GGA-PBE.

Formation energy from the elements   1995 meV per atom

Cell lengths 5.034, 5.034, 5.225 Å; angles 90.00, 90.00, 90.00 degrees
Fractional coordinates of all 5 atoms:
Na  0.000  0.500  0.000
Na  0.500  0.000  0.000
Ta  0.000  0.000  0.500
Tc  0.500  0.500  0.000
Pb  0.500  0.500  0.500

---

[13]
Here is crystalline Sc2TlO2 at its relaxed geometry from Alexandria via LeMat-Bulk. Energies are from GGA-PBE.

Formation energy (no corrections)   -2.343 eV per atom

Cell lengths 7.270, 7.270, 7.270 Å; angles 151.00, 151.00, 41.48 degrees
Fractional coordinates of all 5 atoms:
Sc  0.177  0.177  0.000
Sc  0.823  0.823  0.000
Tl  0.500  0.500  0.000
O  0.250  0.750  0.500
O  0.750  0.250  0.500

---

[14]
Here is crystalline CrGa2ReI at its relaxed geometry from Alexandria via LeMat-Bulk. Energies are from GGA-PBE.

Formation energy (no corrections)   2.037 eV per atom

Cell lengths 5.750, 5.750, 5.033 Å; angles 90.00, 90.00, 90.00 degrees
Fractional coordinates of all 5 atoms:
Cr  0.000  0.000  0.000
Ga  0.000  0.500  0.500
Ga  0.500  0.000  0.500
Re  0.500  0.500  0.000
I  0.000  0.000  0.500

---

[15]
Here is crystalline Sr2LiSnO5 at its relaxed geometry from Alexandria via LeMat-Bulk. Energies are from GGA-PBE.

Formation energy (no corrections)   -2.056 eV per atom

Cell lengths 6.997, 6.997, 10.560 Å; angles 90.00, 90.00, 151.63 degrees
Fractional coordinates of all 18 atoms:
Sr  0.111  0.889  0.500
Sr  0.130  0.870  0.142
Sr  0.870  0.130  0.642
Sr  0.889  0.111  0.000
Li  0.477  0.523  0.288
Li  0.523  0.477  0.788
Sn  0.188  0.812  0.839
Sn  0.812  0.188  0.339
O  0.040  0.960  0.859
O  0.299  0.701  0.472
O  0.324  0.676  0.203
O  0.338  0.662  0.818
O  0.494  0.506  0.104
O  0.506  0.494  0.604
O  0.662  0.338  0.318
O  0.676  0.324  0.703
O  0.701  0.299  0.972
O  0.960  0.040  0.359

---

[16]
Here is crystalline Sr2TiTlPd at its relaxed geometry from Alexandria via LeMat-Bulk. Energies are from GGA-PBE.

Formation energy from the elements   331 meV per atom

Cell lengths 6.152, 6.152, 4.597 Å; angles 90.00, 90.00, 90.00 degrees
Fractional coordinates of all 5 atoms:
Sr  0.000  0.500  0.000
Sr  0.500  0.000  0.000
Ti  0.000  0.000  0.000
Tl  0.500  0.500  0.500
Pd  0.000  0.000  0.500

---

[17]
Here is crystalline Tb6Er2Sc at its relaxed geometry from Alexandria via LeMat-Bulk. Energies are from GGA-PBE.

Formation energy from the elements   29 meV per atom
ΔE to the lowest computed polymorph   0.0 meV per atom

Cell lengths 6.084, 6.084, 10.552 Å; angles 106.83, 106.83, 48.20 degrees
Fractional coordinates of all 9 atoms:
Tb  0.163  0.163  0.219
Tb  0.166  0.166  0.555
Tb  0.168  0.168  0.891
Tb  0.832  0.832  0.109
Tb  0.834  0.834  0.445
Tb  0.837  0.837  0.781
Er  0.498  0.498  0.330
Er  0.502  0.502  0.670
Sc  0.500  0.500  0.000

---

[18]
Here is crystalline Ac2PuSb at its relaxed geometry from Alexandria via LeMat-Bulk. Energies are from GGA-PBE.

Formation energy (no corrections)   -0.302 eV per atom
ΔE to the lowest computed polymorph   34.1 meV per atom

Cell lengths 4.290, 4.290, 7.715 Å; angles 90.00, 90.00, 90.00 degrees
Fractional coordinates of all 4 atoms:
Ac  0.000  0.000  0.230
Ac  0.000  0.000  0.770
Pu  0.500  0.500  0.500
Sb  0.500  0.500  0.000

---

[19]
Here is crystalline LiAcTcN3 at its relaxed geometry from Alexandria via LeMat-Bulk. Energies are from GGA-PBE.

Formation energy (no corrections)   -0.516 eV per atom

Cell lengths 6.346, 6.346, 8.218 Å; angles 90.00, 90.00, 148.36 degrees
Fractional coordinates of all 12 atoms:
Li  0.000  0.000  0.000
Li  0.000  0.000  0.500
Ac  0.301  0.699  0.750
Ac  0.699  0.301  0.250
Tc  0.439  0.561  0.250
Tc  0.561  0.439  0.750
N  0.036  0.964  0.250
N  0.358  0.642  0.068
N  0.358  0.642  0.432
N  0.642  0.358  0.568
N  0.642  0.358  0.932
N  0.964  0.036  0.750

---

[20]
Here is crystalline Mg3Cd3In5 at its relaxed geometry from Alexandria via LeMat-Bulk. Energies are from GGA-PBE.

Formation energy from the elements   27 meV per atom

Cell lengths 10.045, 10.045, 3.236 Å; angles 90.00, 90.00, 120.00 degrees
Fractional coordinates of all 11 atoms:
Mg  0.000  0.591  0.000
Mg  0.409  0.409  0.000
Mg  0.591  0.000  0.000
Cd  0.000  0.831  0.500
Cd  0.169  0.169  0.500
Cd  0.831  0.000  0.500
In  0.000  0.340  0.500
In  0.333  0.667  0.500
In  0.340  0.000  0.500
In  0.660  0.660  0.500
In  0.667  0.333  0.500

---

[21]
Here is crystalline NaPt3 at its relaxed geometry from Alexandria via LeMat-Bulk. Energies are from GGA-PBE.

Formation energy from the elements   -95 meV per atom

Cell lengths 4.896, 9.334, 5.656 Å; angles 90.00, 90.00, 90.00 degrees
Fractional coordinates of all 16 atoms:
Na  0.085  0.250  0.149
Na  0.415  0.750  0.649
Na  0.585  0.250  0.351
Na  0.915  0.750  0.851
Pt  0.106  0.250  0.652
Pt  0.245  0.507  0.388
Pt  0.245  0.993  0.388
Pt  0.255  0.007  0.888
Pt  0.255  0.493  0.888
Pt  0.394  0.750  0.152
Pt  0.606  0.250  0.848
Pt  0.745  0.507  0.112
Pt  0.745  0.993  0.112
Pt  0.755  0.007  0.612
Pt  0.755  0.493  0.612
Pt  0.894  0.750  0.348

---

[22]
Here is crystalline TbSmCoAu at its relaxed geometry from Alexandria via LeMat-Bulk. Energies are from GGA-PBE.

Formation energy from the elements   -385 meV per atom

Cell lengths 4.999, 4.999, 4.999 Å; angles 60.00, 60.00, 60.00 degrees
Fractional coordinates of all 4 atoms:
Tb  0.000  0.000  0.000
Sm  0.500  0.500  0.500
Co  0.750  0.750  0.750
Au  0.250  0.250  0.250

---

[23]
Here is crystalline TbCe5Bi6 at its relaxed geometry from Alexandria via LeMat-Bulk. Energies are from GGA-PBE.

Formation energy from the elements   -803 meV per atom

Cell lengths 7.945, 7.945, 7.933 Å; angles 99.61, 99.61, 120.01 degrees
Fractional coordinates of all 12 atoms:
Tb  0.000  0.000  0.000
Ce  0.168  0.832  0.500
Ce  0.334  0.666  0.000
Ce  0.500  0.500  0.500
Ce  0.666  0.334  0.000
Ce  0.832  0.168  0.500
Bi  0.082  0.413  0.247
Bi  0.247  0.247  0.750
Bi  0.413  0.082  0.247
Bi  0.587  0.918  0.753
Bi  0.753  0.753  0.250
Bi  0.918  0.587  0.753

---

[24]
Here is crystalline BaAgGeRh at its relaxed geometry from Alexandria via LeMat-Bulk. Energies are from GGA-PBE.

Formation energy from the elements   -499 meV per atom

Cell lengths 4.155, 4.155, 11.768 Å; angles 90.00, 90.00, 90.00 degrees
Fractional coordinates of all 8 atoms:
Ba  0.250  0.250  0.242
Ba  0.750  0.750  0.758
Ag  0.250  0.750  0.000
Ag  0.750  0.250  0.000
Ge  0.250  0.250  0.612
Ge  0.750  0.750  0.388
Rh  0.250  0.750  0.500
Rh  0.750  0.250  0.500

---

no.,final energy (eV/atom)
1,-4.43
2,-3.11
3,-5.28
4,-4.85
5,-3.84
6,-4.49
7,-4.55
8,-5.10
9,-5.79
10,-2.40
11,-4.27
12,-3.72
13,-7.33
14,-3.90
15,-5.84
16,-3.43
17,-4.78
18,-6.97
19,-7.41
20,-1.90
21,-4.96
22,-5.32
23,-5.60
24,-4.68